# Tm4PuTl5

A geometry-optimized Tm4PuTl5 structure (PBE-GGA, the Alexandria database).

Results
The total magnetization is 0.4 μB/f.u. The calculation puts the total energy at -4.388 eV per atom. The density of states at the Fermi level is 17.381 states/eV/cell.

a b c (Å): 3.5077 3.5077 21.3971
angles (deg): 90.00 90.00 90.00
Closest atoms and distances in Å follow each position.
Fractional positions:
Pu  0.0000  0.0000  0.0000  8 Tl 3.30, 4 Pu 3.51
Tl  0.5000  0.5000  0.6983  8 Tm 3.26, 4 Tl 3.51
Tl  0.5000  0.5000  0.1021  4 Tm 3.29, 4 Pu 3.30, 4 Tl 3.51
Tl  0.5000  0.5000  0.5000  8 Tm 3.26, 4 Tl 3.51
Tl  0.5000  0.5000  0.8979  4 Tm 3.29, 4 Pu 3.30, 4 Tl 3.51
Tl  0.5000  0.5000  0.3017  8 Tm 3.26, 4 Tl 3.51
Tm  0.0000  0.0000  0.2032  8 Tl 3.26-3.29, 4 Tm 3.51
Tm  0.0000  0.0000  0.7968  8 Tl 3.26-3.29, 4 Tm 3.51
Tm  0.0000  0.0000  0.4010  8 Tl 3.26, 4 Tm 3.51
Tm  0.0000  0.0000  0.5990  8 Tl 3.26, 4 Tm 3.51

***

# Ti6Sb3Pd

A geometry-optimized Ti6Sb3Pd structure (PBE-GGA, the Alexandria database).

Results
The value obtained for the uncorrected formation energy is -0.2667 eV/atom. The total magnetization is 0.0 μB/f.u. The calculation puts the total energy at -6.760 eV per atom. The density of states at the Fermi level is 22.518 states/eV/cell.

a b c (Å): 6.2130 8.1639 8.1639
angles (deg): 105.29 90.00 90.00
Closest atoms and distances in Å follow each position.
Fractional positions:
Sb  0.0199  0.0910  0.2449  7 Ti 2.75-2.91
Sb  0.5199  0.2449  0.0910  7 Ti 2.75-2.91
Sb  0.0199  0.7551  0.9090  7 Ti 2.75-2.91
Sb  0.5199  0.9090  0.7551  7 Ti 2.75-2.91
Sb  0.8107  0.5859  0.4141  1 Pd 2.67, 7 Ti 2.75-2.93
Sb  0.3107  0.4141  0.5859  1 Pd 2.67, 7 Ti 2.75-2.93
Ti  0.1731  0.4195  0.2629  4 Sb 2.75-2.81, 2 Ti 2.77-2.80
Ti  0.6731  0.5805  0.7371  4 Sb 2.75-2.81, 2 Ti 2.77-2.80
Ti  0.6375  0.9034  0.0966  1 Pd 2.51
Ti  0.5972  0.2467  0.7533  1 Pd 2.48
Ti  0.7817  0.9552  0.4800  3 Ti 2.77-3.03, 1 Pd 2.82, 3 Sb 2.87-2.93
Ti  0.0972  0.7533  0.2467  1 Pd 2.48
Ti  0.7817  0.5200  0.0448  3 Ti 2.77-3.03, 1 Pd 2.82, 3 Sb 2.87-2.93
Ti  0.2817  0.4800  0.9552  3 Ti 2.77-3.03, 1 Pd 2.82, 3 Sb 2.87-2.93
Ti  0.6731  0.2629  0.4195  4 Sb 2.75-2.81, 2 Ti 2.77-2.80
Ti  0.1731  0.7371  0.5805  4 Sb 2.75-2.81, 2 Ti 2.77-2.80
Ti  0.2817  0.0448  0.5200  3 Ti 2.77-3.03, 1 Pd 2.82, 3 Sb 2.87-2.93
Ti  0.1375  0.0966  0.9034  1 Pd 2.51
Pd  0.4905  0.7231  0.2769  2 Ti 2.48-2.51, 1 Sb 2.67
Pd  0.9905  0.2769  0.7231  2 Ti 2.48-2.51, 1 Sb 2.67

***

# Tm3ZnNi

A geometry-optimized Tm3ZnNi structure (PBE-GGA, the Alexandria database).

Results
The total magnetization is 0.0 μB/f.u. For the energy above the most stable polymorph in this dataset, the calculation gives 0 meV/atom. The calculation puts the total energy at -4.390 eV per atom. The density of states at the Fermi level is 8.197 states/eV/cell.

a b c (Å): 5.5093 5.5093 9.0896
angles (deg): 65.89 65.89 69.12
Closest atoms and distances in Å follow each position.
Fractional positions:
Tm  0.3000  0.3000  0.9005  4 Ni 2.86-2.87
Tm  0.7100  0.7100  0.7083  2 Ni 2.84, 2 Zn 3.03
Tm  0.0790  0.0790  0.7110  2 Ni 2.83, 2 Zn 3.03
Tm  0.2900  0.2900  0.2917  2 Ni 2.84, 2 Zn 3.03
Tm  0.9210  0.9210  0.2890  2 Ni 2.83, 2 Zn 3.03
Tm  0.7000  0.7000  0.0995  4 Ni 2.86-2.87
Ni  0.7488  0.2512  0.0000  8 Tm 2.83-2.87, 2 Ni 3.11-3.14
Ni  0.2512  0.7488  0.0000  8 Tm 2.83-2.87, 2 Ni 3.11-3.14
Zn  0.6956  0.3044  0.5000  1 Zn 2.45
Zn  0.3044  0.6956  0.5000  1 Zn 2.45

***

# YIn3

A geometry-optimized YIn3 structure (PBE-GGA, the Alexandria database).

Results
The total magnetization is 0.0 μB/f.u. The calculation puts the total energy at -3.971 eV per atom. The density of states at the Fermi level is 2.812 states/eV/cell.

a b c (Å): 5.5123 5.5123 3.6277
angles (deg): 90.00 90.00 107.43
Closest atoms and distances in Å follow each position.
Fractional positions:
In  0.5000  0.0000  0.5000  8 In 3.26-3.63, 4 Y 3.30
In  0.5000  0.5000  0.0000  2 Y 3.26, 10 In 3.30-3.63
In  0.0000  0.5000  0.5000  8 In 3.26-3.63, 4 Y 3.30
Y  0.0000  0.0000  0.0000  10 In 3.26-3.30, 2 Y 3.63

***

# HfSc3Tc

A geometry-optimized HfSc3Tc structure (PBE-GGA, the Alexandria database).

Results
The total magnetization is 0.0 μB/f.u. For the energy above the most stable polymorph in this dataset, the calculation gives 0 meV/atom. The calculation puts the total energy at -8.022 eV per atom. The density of states at the Fermi level is 10.601 states/eV/cell.

a b c (Å): 3.3476 6.0073 11.1831
angles (deg): 93.01 90.00 106.18
Closest atoms and distances in Å follow each position.
Fractional positions:
Sc  0.1342  0.2684  0.4743  4 Hf 3.09-3.26, 8 Sc 3.18-3.44
Sc  0.7291  0.4582  0.2446  2 Tc 2.83, 1 Hf 3.10
Sc  0.3758  0.7516  0.0369  4 Tc 2.81-2.84, 1 Sc 3.03, 1 Hf 3.14
Sc  0.2709  0.5418  0.7554  2 Tc 2.83, 1 Hf 3.10
Sc  0.8658  0.7316  0.5257  4 Hf 3.09-3.26, 8 Sc 3.18-3.44
Sc  0.6242  0.2484  0.9631  4 Tc 2.81-2.84, 1 Sc 3.03, 1 Hf 3.14
Tc  0.9492  0.8985  0.8542  2 Hf 2.65, 6 Sc 2.81-2.84
Tc  0.0508  0.1015  0.1458  2 Hf 2.65, 6 Sc 2.81-2.84
Hf  0.5298  0.0596  0.6945  2 Tc 2.65
Hf  0.4702  0.9404  0.3055  2 Tc 2.65

***

# Zr2RhBr

A geometry-optimized Zr2RhBr structure (PBE-GGA, the Alexandria database).

Results
The value obtained for the uncorrected formation energy is -0.3847 eV/atom. The total magnetization is 0.0 μB/f.u. For the energy above the most stable polymorph in this dataset, the calculation gives 215 meV/atom. The calculation puts the total energy at -6.915 eV per atom. The density of states at the Fermi level is 2.430 states/eV/cell.

a b c (Å): 3.2164 7.1583 5.4817
angles (deg): 39.82 90.00 90.00
Closest atoms and distances in Å follow each position.
Fractional positions:
Br  0.5000  0.5000  0.5000  6 Zr 2.74-2.80
Rh  0.0000  0.0000  0.5000  6 Zr 2.74-2.80
Zr  0.0000  0.0000  0.0000  2 Rh 2.74, 4 Br 2.80
Zr  0.5000  0.5000  0.0000  2 Br 2.74, 4 Rh 2.80

***

# CsTi8O16

A geometry-optimized CsTi8O16 structure (PBE-GGA, the Alexandria database).

Results
The value obtained for the uncorrected formation energy is -2.9621 eV/atom. The total magnetization is 1.1 μB/f.u. The calculation puts the total energy at -8.696 eV per atom. The density of states at the Fermi level is 18.294 states/eV/cell.

a b c (Å): 5.9623 10.7910 10.7920
angles (deg): 85.62 73.96 73.96
Closest atoms and distances in Å follow each position.
Fractional positions:
Ti  0.3813  0.9016  0.5884  6 O 1.97-2.04
Ti  0.5304  0.0884  0.0984  6 O 1.97-2.04
Ti  0.0348  0.0776  0.1020  6 O 1.93-2.06
Ti  0.6367  0.3980  0.0777  6 O 1.93-2.06
Ti  0.9652  0.9224  0.8980  6 O 1.93-2.06
Ti  0.2827  0.5884  0.5984  6 O 1.97-2.04
Ti  0.8713  0.5984  0.9116  6 O 1.97-2.04
Ti  0.1287  0.4016  0.0884  6 O 1.97-2.04
Ti  0.8876  0.8980  0.5777  6 O 1.93-2.06
Ti  0.2145  0.4224  0.3980  6 O 1.93-2.06
Ti  0.6187  0.0984  0.4116  6 O 1.97-2.04
Ti  0.4696  0.9116  0.9016  6 O 1.97-2.04
Ti  0.7855  0.5776  0.6020  6 O 1.93-2.06
Ti  0.7173  0.4116  0.4016  6 O 1.97-2.04
Ti  0.1124  0.1020  0.4223  6 O 1.93-2.06
Ti  0.3633  0.6020  0.9223  6 O 1.93-2.06
O  0.9758  0.7110  0.5853  3 Ti 1.94-2.04
O  0.9011  0.5396  0.4072  3 Ti 1.93-2.06
O  0.3131  0.4148  0.2110  3 Ti 1.94-2.03
O  0.6500  0.0408  0.9076  3 Ti 1.94-2.04
O  0.8479  0.9604  0.0928  3 Ti 1.93-2.06
O  0.4779  0.7118  0.5836  3 Ti 1.97-2.05
O  0.2267  0.2118  0.0836  3 Ti 1.97-2.05
O  0.1521  0.0396  0.9072  3 Ti 1.93-2.06
O  0.1897  0.5836  0.7882  3 Ti 1.97-2.05
O  0.6908  0.9076  0.4593  3 Ti 1.94-2.04
O  0.5984  0.4592  0.5924  3 Ti 1.94-2.04
O  0.3092  0.0924  0.5407  3 Ti 1.94-2.04
O  0.4016  0.5408  0.4076  3 Ti 1.94-2.04
O  0.1917  0.9072  0.4604  3 Ti 1.93-2.06
O  0.7733  0.7882  0.9164  3 Ti 1.97-2.05
O  0.7279  0.2110  0.0853  3 Ti 1.94-2.04
O  0.9423  0.4076  0.9593  3 Ti 1.94-2.04
O  0.3500  0.9592  0.0924  3 Ti 1.94-2.04
O  0.0242  0.2890  0.4147  3 Ti 1.94-2.04
O  0.4407  0.4072  0.9604  3 Ti 1.93-2.06
O  0.8103  0.4164  0.2118  3 Ti 1.97-2.05
O  0.6869  0.5852  0.7890  3 Ti 1.94-2.03
O  0.0611  0.9148  0.7110  3 Ti 1.94-2.03
O  0.2721  0.7890  0.9147  3 Ti 1.94-2.04
O  0.5614  0.9164  0.7118  3 Ti 1.97-2.05
O  0.0989  0.4604  0.5928  3 Ti 1.93-2.06
O  0.5593  0.5928  0.0396  3 Ti 1.93-2.06
O  0.4386  0.0836  0.2882  3 Ti 1.97-2.05
O  0.5221  0.2882  0.4164  3 Ti 1.97-2.05
O  0.0577  0.5924  0.0407  3 Ti 1.94-2.04
O  0.9389  0.0852  0.2890  3 Ti 1.94-2.03
O  0.8083  0.0928  0.5396  3 Ti 1.93-2.06
Cs  0.3752  0.2500  0.7500  8 O 3.10
Cs  0.6248  0.7500  0.2500  8 O 3.10

***

# MgPN3

A geometry-optimized MgPN3 structure (PBE-GGA, the Alexandria database).

Results
The value obtained for the uncorrected formation energy is 2.1710 eV/atom. The total magnetization is 4.0 μB/f.u. The calculation puts the total energy at -4.225 eV per atom. The density of states at the Fermi level is 2.065 states/eV/cell.

a b c (Å): 3.9669 3.9669 3.9669
angles (deg): 90.00 90.00 90.00
Closest atoms and distances in Å follow each position.
Fractional positions:
N  0.0000  0.0000  0.5000  2 Mg 1.98
N  0.5000  0.0000  0.0000  2 Mg 1.98
N  0.0000  0.5000  0.0000  2 Mg 1.98
P  0.5000  0.5000  0.5000  12 N 2.81
Mg  0.0000  0.0000  0.0000  6 N 1.98

***

Q: The lowest density of states at the Fermi level belongs to which entry?
A: MgPN3